[1]
Y2HoI: relaxed, PBE-GGA.

Cell and atoms, written as POSCAR:
```
Y2HoI
1.0
-2.709 2.309 1.169
-3.491 -0.399 -1.299
-4.246 -5.900 7.818
I Y Ho
1 2 1
Direct
0.000 0.000 0.000
0.746 0.746 0.763
0.254 0.254 0.237
0.500 0.500 0.500
```

Values from the calculation:
Its total DFT energy (no corrections) is -20.45 eV for the cell shown. The uncorrected formation energy comes out at -34 kJ per mole of atoms. For the density of states at the Fermi level, the calculation gives 1.280 states/eV per atom.

[2]
Ho7ZnI12: relaxed, PBE-GGA.

Cell and atoms, written as POSCAR:
```
Ho7ZnI12
1.0
9.242 -0.214 -2.824
-3.757 8.447 -2.824
-0.143 -0.214 9.663
Ho Zn I
7 1 12
Direct
0.965 0.688 0.894
0.312 0.106 0.035
0.106 0.035 0.312
0.500 0.500 0.500
0.894 0.965 0.688
0.688 0.894 0.965
0.035 0.312 0.106
0.000 0.000 0.000
0.923 0.317 0.773
0.683 0.227 0.077
0.472 0.156 0.391
0.844 0.609 0.528
0.227 0.077 0.683
0.609 0.528 0.844
0.391 0.472 0.156
0.773 0.923 0.317
0.156 0.391 0.472
0.528 0.844 0.609
0.317 0.773 0.923
0.077 0.683 0.227
```

Values from the calculation:
Its total DFT energy (no corrections) is -74.45 eV for the cell shown. The uncorrected formation energy comes out at -109 kJ per mole of atoms. For the density of states at the Fermi level, the calculation gives 0.581 states/eV per atom.

[3]
Ho4ZnI5: relaxed, PBE-GGA.

Cell and atoms, written as POSCAR:
```
Ho4ZnI5
1.0
4.099 0.000 0.000
0.000 8.875 -0.388
-2.049 -1.653 9.417
Ho Zn I
4 1 5
Direct
0.354 0.925 0.707
0.000 0.785 0.000
0.646 0.075 0.293
0.000 0.215 0.000
0.500 0.000 0.000
0.833 0.659 0.666
0.825 0.171 0.650
0.175 0.829 0.350
0.500 0.500 0.000
0.167 0.341 0.334
```

Values from the calculation:
Its total DFT energy (no corrections) is -37.05 eV for the cell shown. The uncorrected formation energy comes out at -94 kJ per mole of atoms. For the density of states at the Fermi level, the calculation gives 0.351 states/eV per atom.

[4]
Ho3In: relaxed, PBE-GGA.

Cell and atoms, written as POSCAR:
```
Ho3In
1.0
5.467 0.000 0.000
0.000 3.472 0.000
0.000 0.000 6.044
Ho In
3 1
Direct
0.000 0.000 0.992
0.000 0.500 0.500
0.500 0.500 0.162
0.500 0.000 0.679
```

Values from the calculation:
Its total DFT energy (no corrections) is -17.12 eV for the cell shown. As for the energy of formation from the pure elements: -0.163 eV/atom. For the density of states at the Fermi level, the calculation gives 1.229 states/eV per atom.

[5]
Ho3In5: relaxed, PBE-GGA.

Cell and atoms, written as POSCAR:
```
Ho3In5
1.0
-4.443 -0.576 1.568
0.973 -6.491 0.371
2.071 0.849 6.181
Ho In
3 5
Direct
0.000 0.500 0.500
0.500 0.774 0.226
0.500 0.226 0.774
0.000 0.000 0.000
0.000 0.500 0.000
0.000 0.000 0.500
0.500 0.732 0.732
0.500 0.268 0.268
```

Values from the calculation:
Its total DFT energy (no corrections) is -30.77 eV for the cell shown. As for the energy of formation from the pure elements: -0.418 eV/atom. For the density of states at the Fermi level, the calculation gives 0.525 states/eV per atom.

[6]
Ho4In3: relaxed, PBE-GGA.

Cell and atoms, written as POSCAR:
```
Ho4In3
1.0
-3.972 -2.430 4.641
0.524 -6.085 -5.843
7.315 1.521 3.952
Ho In
8 6
Direct
0.500 0.000 0.000
0.000 0.000 0.000
0.929 0.697 0.551
0.378 0.449 0.146
0.232 0.854 0.303
0.071 0.303 0.449
0.622 0.551 0.854
0.768 0.146 0.697
0.125 0.597 0.871
0.254 0.129 0.726
0.528 0.274 0.403
0.875 0.403 0.129
0.746 0.871 0.274
0.472 0.726 0.597
```

Values from the calculation:
Its total DFT energy (no corrections) is -58.59 eV for the cell shown. As for the energy of formation from the pure elements: -0.395 eV/atom. For the density of states at the Fermi level, the calculation gives 1.059 states/eV per atom.

[7]
HoIn7: relaxed, PBE-GGA.

Cell and atoms, written as POSCAR:
```
HoIn7
1.0
-0.456 0.454 -6.633
5.462 -0.629 -3.766
0.837 -5.427 -3.776
Ho In
1 7
Direct
0.000 0.000 0.000
0.500 0.500 0.000
0.500 0.000 0.500
0.000 0.500 0.500
0.500 0.000 0.000
0.000 0.500 0.000
0.000 0.000 0.500
0.500 0.500 0.500
```

Values from the calculation:
Its total DFT energy (no corrections) is -25.00 eV for the cell shown. As for the energy of formation from the pure elements: -0.156 eV/atom. For the density of states at the Fermi level, the calculation gives 0.538 states/eV per atom.

[8]
Ho7In5: relaxed, PBE-GGA.

Cell and atoms, written as POSCAR:
```
Ho7In5
1.0
5.059 0.000 0.000
-2.530 5.955 -0.471
0.000 -3.156 11.378
Ho In
7 5
Direct
0.368 0.736 0.724
0.632 0.264 0.276
0.925 0.851 0.242
0.075 0.149 0.758
0.652 0.304 0.001
0.500 0.000 0.500
0.348 0.696 0.999
0.166 0.332 0.466
0.834 0.668 0.534
0.262 0.524 0.222
0.738 0.476 0.778
0.000 0.000 0.000
```

Values from the calculation:
Its total DFT energy (no corrections) is -49.38 eV for the cell shown. As for the energy of formation from the pure elements: -0.304 eV/atom. For the density of states at the Fermi level, the calculation gives 0.990 states/eV per atom.

> What is the total DFT energy (no corrections) in the sixth record?

-58.59 eV for the cell shown

> Among the records above, which one has the highest total DFT energy (no corrections)?

Ho3In